A relaxed structure of Sm3As4Pt4, computed with PBE-GGA.

Cell: 13.003 13.003 13.003 Å, 161.70 160.79 26.65°
Element x y z (fractional)
Sm: 0.000 0.000 0.000
Sm: 0.350 0.850 0.500
Sm: 0.650 0.150 0.500
As: 0.191 0.691 0.500
As: 0.449 0.449 0.000
As: 0.551 0.551 0.000
As: 0.809 0.309 0.500
Pt: 0.094 0.594 0.500
Pt: 0.257 0.257 0.000
Pt: 0.743 0.743 0.000
Pt: 0.906 0.406 0.500

- DFT total energy (eV per cell) = -68.05
- magnetization (Bohr magnetons per cell) = 0.000
- energy of formation from the pure elements (meV/atom) = -1012

---

A relaxed structure of SmAs2Pt6, computed with PBE-GGA.

Cell: 6.116 6.116 5.360 Å, 95.63 95.63 55.40°
Element x y z (fractional)
Sm: 0.000 0.000 0.000
As: 0.383 0.383 0.144
As: 0.617 0.617 0.856
Pt: 0.044 0.522 0.748
Pt: 0.246 0.754 0.500
Pt: 0.478 0.956 0.252
Pt: 0.522 0.044 0.748
Pt: 0.754 0.246 0.500
Pt: 0.956 0.478 0.252

- DFT total energy (eV per cell) = -54.39
- magnetization (Bohr magnetons per cell) = 0.000
- energy of formation from the pure elements (meV/atom) = -459

---

A relaxed structure of Sm3As2Pt7, computed with PBE-GGA.

Cell: 14.188 14.188 14.188 Å, 163.40 163.40 23.56°
Element x y z (fractional)
Sm: 0.000 0.000 0.000
Sm: 0.174 0.174 0.000
Sm: 0.826 0.826 0.000
As: 0.369 0.369 0.000
As: 0.631 0.631 0.000
Pt: 0.079 0.579 0.500
Pt: 0.278 0.278 0.000
Pt: 0.421 0.921 0.500
Pt: 0.500 0.500 0.000
Pt: 0.579 0.079 0.500
Pt: 0.722 0.722 0.000
Pt: 0.921 0.421 0.500

- DFT total energy (eV per cell) = -76.40
- magnetization (Bohr magnetons per cell) = 0.000
- energy of formation from the pure elements (meV/atom) = -888

---

A relaxed structure of SmAsPt, computed with PBE-GGA.

Cell: 4.323 4.323 7.962 Å, 90.00 90.00 120.00°
Element x y z (fractional)
Sm: 0.000 0.000 0.000
Sm: 0.000 0.000 0.500
As: 0.333 0.667 0.250
As: 0.667 0.333 0.750
Pt: 0.333 0.667 0.750
Pt: 0.667 0.333 0.250

- DFT total energy (eV per cell) = -38.21
- magnetization (Bohr magnetons per cell) = 0.000
- energy of formation from the pure elements (meV/atom) = -1232